Entry 1:
Material: IrW2Br
Method: DFT, GGA-PBE
State: relaxed

```
IrW2Br
1.0
2.7096 -4.3442 0.0000
2.7096 4.3442 0.0000
-0.7499 0.0000 2.7787
Ir W Br
1 2 1
Direct
0.0000 0.0000 0.0000
0.0000 0.5000 0.5000
0.5000 0.0000 0.5000
0.5000 0.5000 0.0000
```

Properties
uncorrected formation energy: 4.01 eV per formula unit
total magnetic moment: 0.00 μB/f.u.

=====

Entry 2:
Material: LaTh3Bi4
Method: DFT, GGA-PBE
State: relaxed

```
LaTh3Bi4
1.0
4.6315 -6.5314 0.0000
4.6315 6.5314 0.0000
0.0000 0.0000 4.6088
La Th Bi
1 3 4
Direct
0.0000 0.0000 0.0000
0.0000 0.5000 0.5000
0.5000 0.0000 0.5000
0.5000 0.5000 0.0000
0.2512 0.7488 0.0000
0.2529 0.2529 0.5000
0.7471 0.7471 0.5000
0.7488 0.2512 0.0000
```

Properties
energy of formation from the pure elements: -0.69 eV per atom
total magnetic moment: 0.00 μB/f.u.

=====

no.,N(E_F) (states/eV/cell)
1,3.6
2,5.3